(1)
## Ge3BCl (PBE-GGA)

Data for a relaxed Ge3BCl crystal.

Output
**Uncorrected energy**: -3.803 eV per atom
**Crystal system**: cubic
**DOS(E_F)**: 3.16 states/eV per cell
**Formation energy from raw total energies**: 0.6720 eV/atom
**Total magnetic moment**: 0.64 μB per formula unit

Cell: 4.553 4.553 4.553 Å, 90.00 90.00 90.00°
Space group Pm-3m (No. 221)
Asymmetric unit:
Ge 0.000 0.000 0.500 (multiplicity 3)
B 0.000 0.000 0.000 (multiplicity 1)
Cl 0.500 0.500 0.500 (multiplicity 1)

***

(2)
## Ge3BCl (PBE-GGA)

Data for a relaxed Ge3BCl crystal.

Output
**Uncorrected energy**: -2.886 eV per atom
**Crystal system**: cubic
**DOS(E_F)**: 0.91 states/eV per cell
**Formation energy from raw total energies**: 1.5890 eV/atom
**Total magnetic moment**: 0.00 μB per formula unit

Cell: 4.952 4.952 4.952 Å, 90.00 90.00 90.00°
Space group Pm-3m (No. 221)
Asymmetric unit:
Ge 0.000 0.000 0.500 (multiplicity 3)
B 0.500 0.500 0.500 (multiplicity 1)
Cl 0.000 0.000 0.000 (multiplicity 1)

***

(3)
## GeBCl3 (PBE-GGA)

Data for a relaxed GeBCl3 crystal.

Output
**Uncorrected energy**: -3.003 eV per atom
**Crystal system**: cubic
**DOS(E_F)**: 2.46 states/eV per cell
**Formation energy from raw total energies**: 0.3638 eV/atom
**Total magnetic moment**: 0.00 μB per formula unit

Cell: 4.483 4.483 4.483 Å, 90.00 90.00 90.00°
Space group Pm-3m (No. 221)
Asymmetric unit:
Ge 0.000 0.000 0.000 (multiplicity 1)
B 0.500 0.500 0.500 (multiplicity 1)
Cl 0.000 0.500 0.500 (multiplicity 3)

***

(4)
## GeB2Cl2 (PBE-GGA)

Data for a relaxed GeB2Cl2 crystal.

Output
**Uncorrected energy**: -3.112 eV per atom
**Crystal system**: tetragonal
**DOS(E_F)**: 2.33 states/eV per cell
**Formation energy from raw total energies**: 1.2210 eV/atom
**Total magnetic moment**: 0.00 μB per formula unit

Cell: 8.302 8.302 2.823 Å, 90.00 90.00 90.00°
Space group P4/mbm (No. 127)
Asymmetric unit:
Ge 0.000 0.000 0.000 (multiplicity 2)
B 0.241 0.259 0.500 (multiplicity 4)
Cl 0.127 0.373 0.000 (multiplicity 4)